## Ac2CdSn4Pd3 (PBE)

Data for a geometry-optimized Ac2CdSn4Pd3 structure.

a b c (Å): 4.6840 4.6840 11.2998
angles (deg): 90.00 90.00 90.00
Closest atoms and distances in Å follow each position.
Atoms (fractional coordinates):
Ac  0.0000  0.5000  0.2478  8 Sn 3.55-3.65, 6 Pd 3.59-3.69, 2 Cd 3.69
Ac  0.5000  0.0000  0.7522  8 Sn 3.55-3.65, 6 Pd 3.59-3.69, 2 Cd 3.69
Cd  0.0000  0.0000  0.5000  4 Sn 2.83
Sn  0.0000  0.0000  0.0000  4 Pd 2.73
Sn  0.0000  0.5000  0.6401  3 Pd 2.66-2.83, 2 Cd 2.83
Sn  0.5000  0.0000  0.3599  3 Pd 2.66-2.83, 2 Cd 2.83
Sn  0.5000  0.5000  0.0000  4 Pd 2.73
Pd  0.0000  0.5000  0.8753  5 Sn 2.66-2.73
Pd  0.5000  0.0000  0.1247  5 Sn 2.66-2.73
Pd  0.5000  0.5000  0.5000  4 Sn 2.83

final energy = -0.3524 Ry/atom
spin magnetization = 0.0 μB per formula unit
density = 9.1 g/cm3
SG = P-4m2, No. 115

## SnPt3 (PBE)

Data for a geometry-optimized SnPt3 structure.

a b c (Å): 9.0203 9.0203 2.9223
angles (deg): 90.00 90.00 120.00
Closest atoms and distances in Å follow each position.
Atoms (fractional coordinates):
Sn  0.0000  0.0000  0.0000  6 Pt 2.78, 2 Sn 2.92
Sn  0.3333  0.6667  0.6667  6 Pt 2.78, 2 Sn 2.92
Sn  0.6667  0.3333  0.3333  6 Pt 2.78, 2 Sn 2.92
Pt  0.0000  0.5000  0.0000  6 Pt 2.78-2.92, 2 Sn 2.78
Pt  0.1667  0.3333  0.3333  6 Pt 2.78-2.92, 2 Sn 2.78
Pt  0.1667  0.8333  0.3333  2 Sn 2.78, 6 Pt 2.78-2.92
Pt  0.3333  0.1667  0.6667  6 Pt 2.78-2.92, 2 Sn 2.78
Pt  0.5000  0.0000  0.0000  6 Pt 2.78-2.92, 2 Sn 2.78
Pt  0.5000  0.5000  0.0000  6 Pt 2.78-2.92, 2 Sn 2.78
Pt  0.6667  0.8333  0.3333  6 Pt 2.78-2.92, 2 Sn 2.78
Pt  0.8333  0.1667  0.6667  2 Sn 2.78, 6 Pt 2.78-2.92
Pt  0.8333  0.6667  0.6667  6 Pt 2.78-2.92, 2 Sn 2.78

final energy = -0.4179 Ry/atom
spin magnetization = 0.0 μB per formula unit
density = 17.0 g/cm3
SG = R-3m, No. 166

## BeMo2Rh (PBE)

Data for a geometry-optimized BeMo2Rh structure.

a b c (Å): 2.7271 2.7271 7.2496
angles (deg): 90.00 90.00 90.00
Closest atoms and distances in Å follow each position.
Atoms (fractional coordinates):
Be  0.0000  0.0000  0.0000  4 Rh 2.34, 4 Mo 2.58
Mo  0.0000  0.0000  0.5519  8 Mo 2.73-2.99, 4 Rh 2.73
Mo  0.5000  0.5000  0.2366  4 Be 2.58, 4 Mo 2.73
Rh  0.5000  0.5000  0.8182  4 Be 2.34

final energy = -0.6131 Ry/atom
spin magnetization = 0.0 μB per formula unit
density = 9.4 g/cm3
SG = P4mm, No. 99

## CsBaSn3 (PBE)

Data for a geometry-optimized CsBaSn3 structure.

a b c (Å): 6.4278 6.4278 6.4278
angles (deg): 90.00 90.00 90.00
Closest atoms and distances in Å follow each position.
Atoms (fractional coordinates):
Cs  0.0000  0.0000  0.0000  12 Sn 4.55
Ba  0.5000  0.5000  0.5000  6 Sn 3.21
Sn  0.0000  0.5000  0.5000  2 Ba 3.21
Sn  0.5000  0.0000  0.5000  2 Ba 3.21
Sn  0.5000  0.5000  0.0000  2 Ba 3.21

final energy = -0.1838 Ry/atom
spin magnetization = 0.0 μB per formula unit
relative energy among the computed polymorphs = 80.9 kJ per mole of atoms
density = 3.9 g/cm3
SG = Pm-3m, No. 221

Q: Among the records above, which one has the lowest final energy?
A: BeMo2Rh